(a)
NaGaW2O8 | Alexandria via LeMat-Bulk | PBE+U | optimized geometry; magnetization = 0.000 μB per formula unit; crystal system = monoclinic
1.0
-2.0778 -2.9418 -4.5434
-1.7909 -3.5534 3.1198
-8.6742 4.8817 0.8061
O Na W Ga
16 2 4 2
Cartesian
-4.0660 0.1832 -1.0523
-7.0725 0.7006 -0.0123
-8.4769 -1.7967 0.4347
-7.7194 -0.3535 3.0887
-5.4704 -2.3140 -0.6053
-4.8235 -1.2599 -3.7063
-9.5705 1.4237 -3.0191
-10.0974 0.4455 -0.2628
-8.7004 2.9323 -0.7259
-4.0177 -0.6280 1.5736
-3.6356 -3.4673 -2.5665
-8.9073 1.8538 1.9490
-3.8425 -4.5457 0.1084
-2.9724 -3.0371 2.4016
-2.4455 -2.0589 -0.3547
-8.5252 -0.9855 -2.1911
-6.2149 -0.4722 -1.9441
-6.3280 -1.1412 1.3266
-9.7184 -1.3799 -0.7467
-7.4831 2.2938 0.6233
-2.8244 -0.2335 0.1292
-5.0598 -3.9073 -1.2408
-2.0493 -3.6647 0.7958
-1.8194 -2.8304 -2.2195

=====

(b)
NaGaW2O8 | Alexandria via LeMat-Bulk | PBE+U | optimized geometry; magnetization = 0.000 μB per formula unit; crystal system = tetragonal
1.0
-4.2865 -1.0805 -3.9368
-0.9052 -2.6638 5.2082
0.1267 5.8391 0.9641
Ga O Na W
1 8 1 2
Cartesian
-1.6872 0.6516 3.4040
-1.4851 3.8652 0.0598
-4.3143 -1.4265 0.1897
-3.2876 3.0508 -1.9841
-4.4499 1.4130 0.2832
-1.6336 1.1587 -0.8022
-2.3808 2.3457 2.4449
-4.1403 0.1504 -2.1710
-1.9500 -0.5948 1.7765
0.0000 0.0000 0.0000
-2.5959 -1.8721 0.6357
-3.3779 1.4432 -1.1685

=====

If you had to bet on the most stable structure above, which would it be? Bet on (a).